{"formula": "Ag4Te3", "functional": "GGA-PBE", "state": "relaxed", "dos_at_fermi_per_ev_cell": 3.94, "formation_energy_uncorrected_ev_per_fu": 2.9, "e_tot_ev_per_atom": -2.5638, "de_polymorph_ev_per_atom": 0.381, "m_tot_mub_per_cell": 0.00, "volume_a3_per_atom": 26.14, "lattice_angstrom": [[0.571, 1.106, 6.222], [-5.726, 0.116, -2.730], [-0.563, -5.128, 0.963]], "species": ["Ag", "Ag", "Ag", "Ag", "Te", "Te", "Te"], "fractional_positions": [[0.000, 0.000, 0.252], [0.000, 0.000, 0.748], [0.667, 0.333, 0.500], [0.333, 0.667, 0.500], [0.000, 0.500, 0.000], [0.500, 0.500, 0.000], [0.500, 0.000, 0.000]]}


{"formula": "Sc2TlSnBi", "functional": "GGA-PBE", "state": "relaxed", "dos_at_fermi_per_ev_cell": 3.79, "e_tot_ev_per_atom": -4.1774, "formation_energy_ev_per_atom": 0.41, "m_tot_mub_per_cell": 0.00, "volume_a3_per_atom": 32.69, "lattice_angstrom": [[-0.407, 1.925, 5.082], [-5.424, 0.636, -0.675], [-0.824, -5.059, 1.850]], "species": ["Sc", "Sc", "Tl", "Bi", "Sn"], "fractional_positions": [[0.000, 0.000, 0.500], [0.500, 0.000, 0.000], [0.000, 0.000, 0.000], [0.500, 0.500, 0.500], [0.000, 0.500, 0.000]]}


{"formula": "CoTcAu2", "functional": "GGA-PBE", "state": "relaxed", "dos_at_fermi_per_ev_cell": 9.39, "e_tot_ev_per_atom": -5.1967, "de_polymorph_ev_per_atom": 0.651, "formation_energy_ev_per_atom": 0.81, "m_tot_mub_per_cell": 8.67, "volume_a3_per_atom": 17.22, "lattice_angstrom": [[-1.099, 5.133, -4.954], [-6.837, 0.674, 2.216], [-3.221, 4.746, 0.374]], "species": ["Co", "Co", "Au", "Au", "Au", "Au", "Tc", "Tc"], "fractional_positions": [[0.500, 0.500, 0.000], [0.250, 0.750, 0.500], [0.603, 0.125, 0.250], [0.147, 0.625, 0.250], [0.375, 0.397, 0.750], [0.875, 0.853, 0.750], [0.000, 0.000, 0.000], [0.750, 0.250, 0.500]]}


{"formula": "Sm3Ho5Tm", "functional": "GGA-PBE", "state": "relaxed", "dos_at_fermi_per_ev_cell": 24.47, "e_tot_ev_per_atom": -4.0814, "de_polymorph_ev_per_atom": 0.365, "formation_energy_ev_per_atom": 0.53, "m_tot_mub_per_cell": 0.00, "volume_a3_per_atom": 36.20, "lattice_angstrom": [[1.307, 7.850, 5.154], [1.532, -2.841, 8.915], [9.063, 2.556, 6.723]], "species": ["Sm", "Sm", "Sm", "Sm", "Sm", "Sm", "Ho", "Ho", "Ho", "Ho", "Ho", "Ho", "Ho", "Ho", "Ho", "Ho", "Tm", "Tm"], "fractional_positions": [[0.699, 0.699, 0.810], [0.660, 0.660, 0.362], [0.000, 0.000, 0.000], [0.000, 0.000, 0.500], [0.301, 0.301, 0.190], [0.340, 0.340, 0.638], [0.844, 0.342, 0.250], [0.258, 0.742, 0.000], [0.814, 0.814, 0.964], [0.491, 0.491, 0.228], [0.509, 0.509, 0.772], [0.186, 0.186, 0.036], [0.342, 0.844, 0.250], [0.742, 0.258, 0.000], [0.156, 0.658, 0.750], [0.658, 0.156, 0.750], [0.148, 0.148, 0.603], [0.852, 0.852, 0.397]]}